TaWIF2, optimized geometry, DFT GGA+U; total moment = 0.37 μB per formula unit; total DFT energy (no corrections) = -27.135 eV/f.u.
1.0
-0.6304 1.4221 -3.9041
4.7872 -2.7711 -1.7825
-2.2978 -3.4093 -0.8708
Ta F I W
1 2 1 1
direct
0.0000 0.5000 0.0000
0.5000 0.0000 0.0000
0.0000 0.0000 0.5000
0.5000 0.5000 0.5000
0.0000 0.0000 0.0000